(1)
Material: ScZn9Cu3
Method: DFT, GGA-PBE
State: relaxed

Cell and atoms, written as POSCAR:
```
ScZn9Cu3
1.0
4.558 0.050 1.850
2.248 6.259 0.913
-0.057 0.025 6.680
Sc Zn Cu
1 9 3
direct
0.000 0.000 0.000
0.709 0.789 0.785
0.291 0.211 0.215
0.506 0.211 0.785
0.494 0.789 0.215
0.649 0.342 0.351
0.351 0.658 0.649
0.000 0.658 0.351
0.000 0.342 0.649
0.000 0.500 0.000
0.500 0.500 0.000
0.000 0.000 0.500
0.500 0.000 0.500
```

## Properties
VASP energy, eV/atom: -2.49
ΔE_f, eV per atom: -0.17
Space-group type: C2/m (12)

---

(2)
Material: ScZnCu2
Method: DFT, GGA-PBE
State: relaxed

Cell and atoms, written as POSCAR:
```
ScZnCu2
1.0
-2.774 -0.167 -3.426
3.275 -0.938 -2.802
-0.683 -2.441 3.611
Sc Zn Cu
1 1 2
direct
0.500 0.500 0.000
0.250 0.750 0.500
0.000 0.000 0.000
0.750 0.250 0.500
```

## Properties
VASP energy, eV/atom: -4.14
ΔE_f, eV per atom: -0.19
Space-group type: I-4m2 (119)

---

- Look up the ΔE_f of the first one.
  -0.17 eV per atom